No. 1
# LaSc2Hg, optimized geometry, DFT PBE-GGA
data_LaSc2Hg
_chemical_formula_sum 'La1 Sc2 Hg1'
_space_group_name_H-M_alt 'P m m 2'
_space_group_IT_number 25
_cell_length_a 3.525
_cell_length_b 4.467
_cell_length_c 6.719
_cell_angle_alpha 90.00
_cell_angle_beta 90.00
_cell_angle_gamma 90.00
loop_
_space_group_symop_operation_xyz
'x,y,z'
'-x,-y,z'
'-x,y,z'
'x,-y,z'
loop_
_atom_site_label
_atom_site_fract_x
_atom_site_fract_y
_atom_site_fract_z
La1 0.000 0.000 0.000
Sc1 0.000 0.000 0.515
Sc2 0.500 0.500 0.299
Hg1 0.500 0.500 0.738
# * density of states at the Fermi level: 1.519 states/eV/atom
# * ΔH_f (0 K): -0.15 eV per atom

No. 2
# Sr3Ge2SbAu6, optimized geometry, DFT PBE-GGA
data_Sr3Ge2SbAu6
_chemical_formula_sum 'Sr3 Ge2 Sb1 Au6'
_space_group_name_H-M_alt 'P -3 m 1'
_space_group_IT_number 164
_space_group_name_Hall '-P 3 2"'
_cell_length_a 6.6625
_cell_length_b 6.6625
_cell_length_c 8.4516
_cell_angle_alpha 90.00
_cell_angle_beta 90.00
_cell_angle_gamma 120.00
loop_
_atom_site_label
_atom_site_fract_x
_atom_site_fract_y
_atom_site_fract_z
Sr1 0.0000 0.0000 0.0000
Sr2 0.3333 0.6667 0.6635
Ge1 0.3333 0.6667 0.0696
Sb1 0.0000 0.0000 0.5000
Au1 0.1807 0.3614 0.2870
# * ΔE_f (raw): -559.4 kJ/mol of formula units
# * density of states at the Fermi level: 0.246 states/eV/atom

No. 3
# LaNb4Se8, optimized geometry, DFT PBE-GGA
data_LaNb4Se8
_chemical_formula_sum 'La3 Nb12 Se24'
_space_group_name_H-M_alt 'R -3 m'
_space_group_IT_number 166
_space_group_name_Hall '-R 3 2"'
_cell_length_a 7.1062
_cell_length_b 7.1062
_cell_length_c 22.0767
_cell_angle_alpha 90.00
_cell_angle_beta 90.00
_cell_angle_gamma 120.00
loop_
_atom_site_label
_atom_site_fract_x
_atom_site_fract_y
_atom_site_fract_z
La1 0.0000 0.0000 0.0000
Nb1 0.0000 0.0000 0.5000
Nb2 0.0000 0.5000 0.5000
Se1 0.0000 0.0000 0.2417
Se2 0.0107 0.5054 0.2423
# * ΔE_f (raw): -1243.2 kJ/mol of formula units
# * density of states at the Fermi level: 0.317 states/eV/atom

No. 4
# Th3Te2Os, optimized geometry, DFT PBE-GGA
data_Th3Te2Os
_chemical_formula_sum 'Th12 Te8 Os4'
_space_group_name_H-M_alt 'C 1 2/m 1'
_space_group_IT_number 12
_cell_length_a 7.554
_cell_length_b 13.038
_cell_length_c 7.938
_cell_angle_alpha 90.00
_cell_angle_beta 108.52
_cell_angle_gamma 90.00
loop_
_space_group_symop_operation_xyz
'x,y,z'
'-x,-y,-z'
'-x,y,-z'
'x,-y,z'
'x+1/2,y+1/2,z'
'-x+1/2,-y+1/2,-z'
'-x+1/2,y+1/2,-z'
'x+1/2,-y+1/2,z'
loop_
_atom_site_label
_atom_site_fract_x
_atom_site_fract_y
_atom_site_fract_z
Th1 0.201 0.000 0.207
Th2 0.244 0.184 0.789
Te1 0.000 0.000 0.500
Te2 0.000 0.346 0.500
Te3 0.000 0.500 0.000
Os1 0.000 0.168 0.000
# * ΔE_f (raw): -546.5 kJ/mol of formula units
# * density of states at the Fermi level: 0.848 states/eV/atom